# 1
Here is a relaxed structure of AcLaGeH from Alexandria. Energies are from PBE.

Cell lengths 4.596, 4.596, 9.240 Å; angles 90.00, 90.00, 90.00 degrees
Element x y z (fractional)
Ac 0.250 0.250 0.126
Ac 0.750 0.750 0.874
La 0.250 0.750 0.500
La 0.750 0.250 0.500
Ge 0.250 0.250 0.737
Ge 0.750 0.750 0.263
H 0.250 0.750 0.000
H 0.750 0.250 0.000

Values from the calculation:
VASP energy in eV/f.u.: -19.44

=====

# 2
Here is a relaxed structure of AcMgGeH from Alexandria. Energies are from PBE.

Cell lengths 4.445, 4.445, 8.340 Å; angles 90.00, 90.00, 90.00 degrees
Element x y z (fractional)
Ac 0.250 0.250 0.150
Ac 0.750 0.750 0.850
Mg 0.250 0.750 0.500
Mg 0.750 0.250 0.500
Ge 0.250 0.250 0.704
Ge 0.750 0.750 0.296
H 0.250 0.750 0.000
H 0.750 0.250 0.000

Values from the calculation:
VASP energy in eV/f.u.: -16.19

=====

# 3
Here is a relaxed structure of AcNdGeH from Alexandria. Energies are from PBE.

Cell lengths 5.162, 5.162, 5.162 Å; angles 60.00, 60.00, 60.00 degrees
Element x y z (fractional)
Ac 0.000 0.000 0.000
Nd 0.500 0.500 0.500
Ge 0.750 0.750 0.750
H 0.250 0.250 0.250

Values from the calculation:
VASP energy in eV/f.u.: -18.43

=====

Which of these has the highest VASP energy?
AcMgGeH

=====

Which of these has the highest VASP energy?
AcMgGeH